[1]
This record from Alexandria describes a geometry-optimized La5NdTm4 structure. The functional is PBE.

abc: 3.701 3.701 24.886
angles: 90.00 90.00 90.00
Positions (direct):
La1 0.500 0.500 0.697
La2 0.500 0.500 0.303
La3 0.500 0.500 0.895
La4 0.500 0.500 0.500
La5 0.500 0.500 0.105
Nd1 0.000 0.000 0.000
Tm1 0.000 0.000 0.205
Tm2 0.000 0.000 0.402
Tm3 0.000 0.000 0.795
Tm4 0.000 0.000 0.598

Output
D(E_F)	16.25	states/eV/cell
SG	P4/mmm (123)
DFT formation energy	0.026	eV/atom
spin magnetization	0.0	μB/f.u.
V	34.08	A^3/atom


[2]
This record from Alexandria describes a geometry-optimized La8NdTm6 structure. The functional is PBE.

abc: 6.629 9.450 9.450
angles: 120.00 90.00 90.00
Positions (direct):
La1 0.828 0.706 0.754
La2 0.828 0.246 0.951
La3 0.828 0.049 0.294
La4 0.876 0.333 0.667
La5 0.172 0.294 0.246
La6 0.172 0.754 0.049
La7 0.172 0.951 0.706
La8 0.124 0.667 0.333
Tm1 0.343 0.557 0.658
Tm2 0.343 0.342 0.899
Tm3 0.343 0.101 0.443
Tm4 0.657 0.899 0.557
Tm5 0.657 0.658 0.101
Tm6 0.657 0.443 0.342
Nd1 0.500 0.000 0.000

Output
D(E_F)	25.21	states/eV/cell
SG	P-3 (147)
DFT formation energy	0.172	eV/atom
spin magnetization	0.0	μB/f.u.
V	34.18	A^3/atom


[3]
This record from Alexandria describes a geometry-optimized La3NdTm8 structure. The functional is PBE.

abc: 8.483 8.483 8.489
angles: 95.85 99.89 136.56
Positions (direct):
Tm1 0.500 0.668 0.832
Tm2 0.837 0.669 0.168
Tm3 0.829 0.247 0.080
Tm4 0.838 0.169 0.670
Tm5 0.167 0.749 0.920
Tm6 0.167 0.247 0.418
Tm7 0.829 0.749 0.582
Tm8 0.498 0.168 0.330
Nd1 0.161 0.161 0.000
La1 0.505 0.755 0.250
La2 0.162 0.662 0.500
La3 0.505 0.255 0.750

Output
D(E_F)	21.89	states/eV/cell
SG	Imm2 (44)
DFT formation energy	0.027	eV/atom
spin magnetization	0.0	μB/f.u.
V	32.49	A^3/atom


[4]
This record from Alexandria describes a geometry-optimized La4NdTm4 structure. The functional is PBE.

abc: 5.138 8.096 8.096
angles: 84.22 71.50 71.50
Positions (direct):
Tm1 0.335 0.000 0.330
Tm2 0.665 0.670 0.000
Tm3 0.665 0.000 0.670
Tm4 0.335 0.330 0.000
La1 0.000 0.669 0.331
La2 0.669 0.331 0.331
La3 0.000 0.331 0.669
La4 0.331 0.669 0.669
Nd1 0.000 0.000 0.000

Output
D(E_F)	14.01	states/eV/cell
SG	I4/mmm (139)
DFT formation energy	0.030	eV/atom
polymorph energy (0 for the lowest one)	0.000	eV/f.u.
spin magnetization	0.0	μB/f.u.
V	33.65	A^3/atom


[5]
This record from Alexandria describes a geometry-optimized La2Nd6Tm3 structure. The functional is PBE.

abc: 6.229 6.234 11.912
angles: 84.94 79.84 60.03
Positions (direct):
Nd1 0.252 0.000 0.244
Nd2 0.918 0.667 0.244
Nd3 0.748 0.000 0.756
Nd4 0.415 0.667 0.756
Nd5 0.082 0.333 0.756
Nd6 0.585 0.333 0.244
Tm1 0.334 0.331 0.000
Tm2 0.666 0.669 0.000
Tm3 0.000 0.000 0.000
La1 0.833 0.334 0.500
La2 0.167 0.666 0.500

Output
D(E_F)	15.89	states/eV/cell
SG	C2/m (12)
DFT formation energy	0.163	eV/atom
polymorph energy (0 for the lowest one)	0.000	eV/f.u.
spin magnetization	0.0	μB/f.u.
V	35.86	A^3/atom


[6]
This record from Alexandria describes a geometry-optimized La8Nd3Tm structure. The functional is PBE.

abc: 8.634 8.634 8.634
angles: 94.12 117.65 117.65
Positions (direct):
La1 0.244 0.372 0.372
La2 0.000 0.872 0.628
La3 0.756 0.128 0.128
La4 0.000 0.753 0.253
La5 0.500 0.247 0.247
La6 0.000 0.253 0.753
La7 0.500 0.747 0.747
La8 0.000 0.628 0.872
Nd1 0.000 0.500 0.500
Nd2 0.500 0.250 0.750
Nd3 0.500 0.750 0.250
Tm1 0.000 0.000 0.000

Output
D(E_F)	20.44	states/eV/cell
SG	I-42m (121)
DFT formation energy	0.488	eV/atom
spin magnetization	0.0	μB/f.u.
V	39.16	A^3/atom


[7]
This record from Alexandria describes a geometry-optimized La2Nd3Tm3 structure. The functional is PBE.

abc: 5.111 5.156 10.856
angles: 103.74 103.62 90.00
Positions (direct):
La1 0.750 0.250 0.500
La2 0.250 0.750 0.500
Nd1 0.500 0.000 0.000
Nd2 0.378 0.378 0.756
Nd3 0.622 0.622 0.244
Tm1 0.878 0.878 0.755
Tm2 0.122 0.122 0.245
Tm3 0.000 0.500 0.000

Output
D(E_F)	12.25	states/eV/cell
SG	Immm (71)
DFT formation energy	0.023	eV/atom
polymorph energy (0 for the lowest one)	0.000	eV/f.u.
spin magnetization	0.0	μB/f.u.
V	33.70	A^3/atom


[8]
This record from Alexandria describes a geometry-optimized La4NdTm structure. The functional is PBE.

abc: 6.277 5.929 12.322
angles: 103.93 104.76 90.00
Positions (direct):
La1 0.645 0.089 0.679
La2 0.595 0.670 0.840
La3 0.355 0.911 0.321
La4 0.755 0.830 0.160
La5 0.966 0.411 0.321
La6 0.245 0.170 0.840
La7 0.034 0.589 0.679
La8 0.405 0.330 0.160
Nd1 0.000 0.000 0.500
Nd2 0.500 0.500 0.500
Tm1 0.830 0.250 0.000
Tm2 0.170 0.750 0.000

Output
D(E_F)	19.42	states/eV/cell
SG	Imma (74)
DFT formation energy	0.060	eV/atom
polymorph energy (0 for the lowest one)	0.000	eV/f.u.
spin magnetization	0.0	μB/f.u.
V	35.79	A^3/atom


[9]
This record from Alexandria describes a geometry-optimized La2Nd3Tm3 structure. The functional is PBE.

abc: 3.634 9.117 16.995
angles: 90.00 90.00 101.50
Positions (direct):
La1 0.214 0.428 0.351
La2 0.786 0.572 0.851
La3 0.786 0.572 0.649
La4 0.214 0.428 0.149
Tm1 0.008 0.016 0.101
Tm2 0.992 0.984 0.899
Tm3 0.424 0.849 0.750
Tm4 0.576 0.151 0.250
Tm5 0.008 0.016 0.399
Tm6 0.992 0.984 0.601
Nd1 0.610 0.220 0.750
Nd2 0.642 0.284 0.518
Nd3 0.390 0.780 0.250
Nd4 0.358 0.716 0.018
Nd5 0.642 0.284 0.982
Nd6 0.358 0.716 0.482

Output
D(E_F)	23.50	states/eV/cell
SG	Cmcm (63)
DFT formation energy	0.114	eV/atom
polymorph energy (0 for the lowest one)	0.723	eV/f.u.
spin magnetization	0.0	μB/f.u.
V	34.49	A^3/atom


[10]
This record from Alexandria describes a geometry-optimized LaNd15Tm4 structure. The functional is PBE.

abc: 5.161 5.161 25.751
angles: 90.00 90.00 90.00
Positions (direct):
Nd1 0.000 0.500 0.698
Nd2 0.500 0.500 0.000
Nd3 0.500 0.500 0.599
Nd4 0.500 0.000 0.500
Nd5 0.000 0.500 0.500
Nd6 0.500 0.500 0.401
Nd7 0.500 0.000 0.103
Nd8 0.000 0.500 0.103
Nd9 0.000 0.500 0.897
Nd10 0.000 0.500 0.302
Nd11 0.500 0.000 0.302
Nd12 0.500 0.500 0.797
Nd13 0.500 0.500 0.203
Nd14 0.500 0.000 0.897
Nd15 0.500 0.000 0.698
Tm1 0.000 0.000 0.401
Tm2 0.000 0.000 0.202
Tm3 0.000 0.000 0.599
Tm4 0.000 0.000 0.798
La1 0.000 0.000 0.000

Output
D(E_F)	28.32	states/eV/cell
SG	P4/mmm (123)
DFT formation energy	0.014	eV/atom
spin magnetization	0.0	μB/f.u.
V	34.30	A^3/atom


> Which value of D(E_F) does entry 5 give?

15.89 states/eV/cell


Copy entry 9 word for word.
This record from Alexandria describes a geometry-optimized La2Nd3Tm3 structure. The functional is PBE.

abc: 3.634 9.117 16.995
angles: 90.00 90.00 101.50
Positions (direct):
La1 0.214 0.428 0.351
La2 0.786 0.572 0.851
La3 0.786 0.572 0.649
La4 0.214 0.428 0.149
Tm1 0.008 0.016 0.101
Tm2 0.992 0.984 0.899
Tm3 0.424 0.849 0.750
Tm4 0.576 0.151 0.250
Tm5 0.008 0.016 0.399
Tm6 0.992 0.984 0.601
Nd1 0.610 0.220 0.750
Nd2 0.642 0.284 0.518
Nd3 0.390 0.780 0.250
Nd4 0.358 0.716 0.018
Nd5 0.642 0.284 0.982
Nd6 0.358 0.716 0.482

Output
D(E_F)	23.50	states/eV/cell
SG	Cmcm (63)
DFT formation energy	0.114	eV/atom
polymorph energy (0 for the lowest one)	0.723	eV/f.u.
spin magnetization	0.0	μB/f.u.
V	34.49	A^3/atom